## PmNdAlZn (PBE)

Data for a geometry-optimized PmNdAlZn structure.

Cell lengths 5.2384, 5.2384, 5.2384 Å; angles 60.00, 60.00, 60.00 degrees
Closest atoms and distances in Å follow each position.
Fractional coordinates of all 4 atoms:
Zn: 0.0000 0.0000 0.0000  4 Nd 3.21, 4 Pm 3.21
Nd: 0.2500 0.2500 0.2500  4 Al 3.21, 4 Zn 3.21
Al: 0.5000 0.5000 0.5000  4 Pm 3.21, 4 Nd 3.21
Pm: 0.7500 0.7500 0.7500  4 Al 3.21, 4 Zn 3.21

Results
Energy above the most stable polymorph in this dataset = 0.004 eV per atom
Uncorrected energy = -3.97 eV/atom
ΔH_f (0 K) = -0.333 eV per atom
Density of states at the Fermi level = 4.19 states/eV/f.u.
V = 25.41 Å³ per atom
Spin magnetization = 0.000 μB per atom

***

## BaCaMg2Rh (PBE)

Data for a geometry-optimized BaCaMg2Rh structure.

Cell lengths 5.2725, 5.2725, 5.6950 Å; angles 90.00, 90.00, 90.00 degrees
Closest atoms and distances in Å follow each position.
Fractional coordinates of all 5 atoms:
Mg: 0.0000 0.5000 0.0000  2 Rh 2.64
Mg: 0.5000 0.0000 0.0000  2 Rh 2.64
Ca: 0.5000 0.5000 0.5000  4 Ba 3.73, 8 Mg 3.88
Rh: 0.0000 0.0000 0.0000  4 Mg 2.64, 2 Ba 2.85
Ba: 0.0000 0.0000 0.5000  2 Rh 2.85

Results
Energy above the most stable polymorph in this dataset = 0.183 eV per atom
Uncorrected energy = -2.95 eV/atom
ΔH_f (0 K) = -0.054 eV per atom
Density of states at the Fermi level = 3.92 states/eV/f.u.
V = 31.66 Å³ per atom
Spin magnetization = 0.000 μB per atom

***

## Ag3TeW (PBE)

Data for a geometry-optimized Ag3TeW structure.

Cell lengths 5.2625, 5.2625, 5.2625 Å; angles 90.00, 90.00, 90.00 degrees
Closest atoms and distances in Å follow each position.
Fractional coordinates of all 5 atoms:
Te: 0.0000 0.0000 0.0000  6 Ag 2.63
Ag: 0.0000 0.5000 0.0000  2 Te 2.63
Ag: 0.0000 0.0000 0.5000  2 Te 2.63
Ag: 0.5000 0.0000 0.0000  2 Te 2.63
W: 0.5000 0.5000 0.5000  12 Ag 3.72

Results
Energy above the most stable polymorph in this dataset = 0.005 eV per atom
Uncorrected formation energy = 1.61 eV per atom
Uncorrected energy = -3.32 eV/atom
Density of states at the Fermi level = 1.10 states/eV/f.u.
V = 29.15 Å³ per atom
Spin magnetization = 1.003 μB per atom

***

## CaScZn2S (PBE)

Data for a geometry-optimized CaScZn2S structure.

Cell lengths 5.3088, 4.9701, 5.3088 Å; angles 90.00, 90.00, 90.00 degrees
Closest atoms and distances in Å follow each position.
Fractional coordinates of all 5 atoms:
Sc: 0.5000 0.5000 0.5000  8 Zn 3.64, 4 S 3.75
Zn: 0.0000 0.0000 0.5000  2 Ca 2.65
Zn: 0.5000 0.0000 0.0000  2 Ca 2.65
S: 0.0000 0.5000 0.0000  2 Ca 2.49
Ca: 0.0000 0.0000 0.0000  2 S 2.49, 4 Zn 2.65

Results
Uncorrected formation energy = 0.30 eV per atom
Uncorrected energy = -2.70 eV/atom
Density of states at the Fermi level = 5.65 states/eV/f.u.
V = 28.01 Å³ per atom
Spin magnetization = 0.143 μB per atom

***

## Ac6Hg2Pb3 (PBE)

Data for a geometry-optimized Ac6Hg2Pb3 structure.

Cell lengths 5.3099, 5.3099, 16.2125 Å; angles 99.43, 99.43, 90.00 degrees
Closest atoms and distances in Å follow each position.
Fractional coordinates of all 11 atoms:
Ac: 0.0713 0.5713 0.1425  2 Hg 3.22, 2 Pb 3.48
Ac: 0.5713 0.0713 0.1425  2 Hg 3.22, 2 Pb 3.48
Ac: 0.9287 0.4287 0.8575  2 Hg 3.22, 2 Pb 3.48
Ac: 0.4287 0.9287 0.8575  2 Hg 3.22, 2 Pb 3.48
Ac: 0.7263 0.7263 0.4527  1 Hg 3.07
Ac: 0.2737 0.2737 0.5473  1 Hg 3.07
Hg: 0.3709 0.3709 0.7417  5 Ac 3.07-3.22
Hg: 0.6291 0.6291 0.2583  5 Ac 3.07-3.22
Pb: 0.0000 0.0000 0.0000  8 Ac 3.48
Pb: 0.8380 0.8380 0.6759  5 Ac 3.52-3.90, 4 Hg 3.90
Pb: 0.1620 0.1620 0.3241  5 Ac 3.52-3.90, 4 Hg 3.90

Results
Uncorrected energy = -3.45 eV/atom
ΔH_f (0 K) = -0.140 eV per atom
Density of states at the Fermi level = 12.94 states/eV/f.u.
V = 40.43 Å³ per atom
Spin magnetization = 0.000 μB per atom

***

## Nb3Sn (PBE)

Data for a geometry-optimized Nb3Sn structure.

Cell lengths 4.9156, 2.8815, 5.4313 Å; angles 90.00, 90.00, 90.00 degrees
Closest atoms and distances in Å follow each position.
Fractional coordinates of all 4 atoms:
Nb: 0.0000 0.5000 0.4795  8 Nb 2.88-3.05, 4 Sn 3.04-3.11
Nb: 0.5000 0.5000 0.1867  8 Nb 2.88-3.10, 4 Sn 3.05
Nb: 0.5000 0.0000 0.6809  10 Nb 2.88-3.10, 2 Sn 2.96
Sn: 0.0000 0.0000 0.9862  2 Sn 2.88, 10 Nb 2.96-3.11

Results
Uncorrected energy = -8.47 eV/atom
ΔH_f (0 K) = 0.088 eV per atom
Density of states at the Fermi level = 4.31 states/eV/f.u.
V = 19.23 Å³ per atom
Spin magnetization = 0.000 μB per atom

***

## PuTl2Cu3F12 (PBE)

Data for a geometry-optimized PuTl2Cu3F12 structure.

Cell lengths 8.3023, 8.3023, 8.3023 Å; angles 51.51, 51.51, 51.51 degrees
Closest atoms and distances in Å follow each position.
Fractional coordinates of all 18 atoms:
Pu: 0.0000 0.0000 0.0000  6 F 2.12
Tl: 0.5860 0.5860 0.5860  3 F 2.91
Tl: 0.4140 0.4140 0.4140  3 F 2.91
Cu: 0.5000 0.0000 0.0000  4 F 1.94
Cu: 0.0000 0.5000 0.0000  4 F 1.94
Cu: 0.0000 0.0000 0.5000  4 F 1.94
F: 0.3167 0.3167 0.9136  2 Cu 1.94
F: 0.9166 0.9166 0.3355  1 Pu 2.12
F: 0.3355 0.9166 0.9166  1 Pu 2.12
F: 0.9136 0.3167 0.3167  2 Cu 1.94
F: 0.9166 0.3355 0.9166  1 Pu 2.12
F: 0.3167 0.9136 0.3167  2 Cu 1.94
F: 0.6833 0.6833 0.0864  2 Cu 1.94
F: 0.0834 0.0834 0.6645  1 Pu 2.12
F: 0.6645 0.0834 0.0834  1 Pu 2.12
F: 0.0864 0.6833 0.6833  2 Cu 1.94
F: 0.0834 0.6645 0.0834  1 Pu 2.12
F: 0.6833 0.0864 0.6833  2 Cu 1.94

Results
Uncorrected formation energy = -2.13 eV per atom
Uncorrected energy = -5.12 eV/atom
Density of states at the Fermi level = 15.37 states/eV/f.u.
V = 17.99 Å³ per atom
Spin magnetization = 0.348 μB per atom

***

## ZrRhPb4 (PBE)

Data for a geometry-optimized ZrRhPb4 structure.

Cell lengths 6.1724, 6.1724, 6.1724 Å; angles 60.00, 60.00, 60.00 degrees
Closest atoms and distances in Å follow each position.
Fractional coordinates of all 6 atoms:
Zr: 0.0000 0.0000 0.0000  12 Pb 3.62, 4 Rh 3.78
Rh: 0.7500 0.7500 0.7500  12 Pb 3.62, 4 Zr 3.78
Pb: 0.8754 0.3749 0.3749  6 Pb 3.08-3.09
Pb: 0.3749 0.3749 0.8754  6 Pb 3.08-3.09
Pb: 0.3749 0.8754 0.3749  6 Pb 3.08-3.09
Pb: 0.3749 0.3749 0.3749  6 Pb 3.08-3.09

Results
Uncorrected energy = -4.41 eV/atom
ΔH_f (0 K) = 0.710 eV per atom
Density of states at the Fermi level = 7.75 states/eV/f.u.
V = 27.71 Å³ per atom
Spin magnetization = 0.137 μB per atom

***

## BaAlO3 (PBE)

Data for a geometry-optimized BaAlO3 structure.

Cell lengths 3.9589, 3.9589, 3.9589 Å; angles 90.00, 90.00, 90.00 degrees
Closest atoms and distances in Å follow each position.
Fractional coordinates of all 5 atoms:
Ba: 0.5000 0.5000 0.5000  12 O 2.80
O: 0.5000 0.0000 0.0000  2 Al 1.98
O: 0.0000 0.0000 0.5000  2 Al 1.98
O: 0.0000 0.5000 0.0000  2 Al 1.98
Al: 0.0000 0.0000 0.0000  6 O 1.98

Results
Uncorrected formation energy = -2.48 eV per atom
Uncorrected energy = -6.58 eV/atom
Density of states at the Fermi level = 2.69 states/eV/f.u.
V = 12.41 Å³ per atom
Spin magnetization = 0.200 μB per atom

***

## Ag2F5 (PBE)

Data for a geometry-optimized Ag2F5 structure.

Cell lengths 5.2662, 6.0131, 7.3057 Å; angles 84.33, 111.13, 90.00 degrees
Closest atoms and distances in Å follow each position.
Fractional coordinates of all 14 atoms:
Ag: 0.1076 0.3051 0.7093  6 F 2.07-2.27
Ag: 0.3983 0.1949 0.2907  6 F 2.07-2.27
Ag: 0.8924 0.6949 0.2907  6 F 2.07-2.27
Ag: 0.6017 0.8051 0.7093  6 F 2.07-2.27
F: 0.1580 0.4926 0.2243  2 Ag 2.07-2.10
F: 0.9338 0.0074 0.7757  2 Ag 2.07-2.10
F: 0.2270 0.6321 0.5937  3 Ag 2.16-2.27
F: 0.6333 0.8679 0.4063  3 Ag 2.16-2.27
F: 0.7730 0.3679 0.4063  3 Ag 2.16-2.27
F: 0.3667 0.1321 0.5937  3 Ag 2.16-2.27
F: 0.0662 0.9926 0.2243  2 Ag 2.07-2.10
F: 0.8420 0.5074 0.7757  2 Ag 2.07-2.10
F: 0.3908 0.2500 0.0000  2 Ag 2.10
F: 0.6092 0.7500 0.0000  2 Ag 2.10

Results
Energy above the most stable polymorph in this dataset = 0.039 eV per atom
Uncorrected formation energy = -1.05 eV per atom
Uncorrected energy = -3.20 eV/atom
Density of states at the Fermi level = 3.34 states/eV/f.u.
V = 15.33 Å³ per atom
Spin magnetization = 0.000 μB per atom

***

## Mn2SiIrS (PBE)

Data for a geometry-optimized Mn2SiIrS structure.

Cell lengths 2.9088, 2.9497, 7.4929 Å; angles 90.00, 101.17, 90.00 degrees
Closest atoms and distances in Å follow each position.
Fractional coordinates of all 5 atoms:
S: 0.5706 0.0000 0.2631  6 Mn 2.22-2.28
Ir: 0.7715 0.0000 0.6624  4 Si 2.51, 1 Mn 2.74
Si: 0.3672 0.5000 0.8546  4 Mn 2.46, 4 Ir 2.51
Mn: 0.9567 0.0000 0.0346  2 S 2.22, 4 Si 2.46
Mn: 0.1346 0.5000 0.3910  4 S 2.27-2.28

Results
Energy above the most stable polymorph in this dataset = 0.006 eV per atom
Uncorrected formation energy = -0.28 eV per atom
Uncorrected energy = -7.63 eV/atom
Density of states at the Fermi level = 3.25 states/eV/f.u.
V = 12.61 Å³ per atom
Spin magnetization = 0.309 μB per atom

***

## TaSiTe2 (PBE)

Data for a geometry-optimized TaSiTe2 structure.

Cell lengths 9.8323, 9.8323, 9.8323 Å; angles 19.90, 19.90, 19.90 degrees
Closest atoms and distances in Å follow each position.
Fractional coordinates of all 4 atoms:
Si: 0.4907 0.4907 0.4907  3 Ta 2.72, 3 Te 2.79
Ta: 0.7589 0.7589 0.7589  3 Si 2.72, 3 Te 2.78
Te: 0.0243 0.0243 0.0243  3 Ta 2.78
Te: 0.2261 0.2261 0.2261  3 Si 2.79

Results
Uncorrected formation energy = 0.05 eV per atom
Uncorrected energy = -5.84 eV/atom
Density of states at the Fermi level = 1.55 states/eV/f.u.
V = 24.09 Å³ per atom
Spin magnetization = 0.000 μB per atom